(1)
Compound: Ac12Ni3Ru5
Source: Alexandria
Functional: PBE
Structure: optimized geometry

Summary:
Energy of formation from the pure elements   83 meV/atom
Volume   33.9 A^3/atom
Symmetry   Ia-3d

abc: 15.2110 15.2110 15.2110
angles: 109.47 109.47 109.47
Fractional positions:
Ac  0.0895  0.1789  0.2147
Ac  0.0895  0.9106  0.3748
Ac  0.9105  0.8211  0.7853
Ac  0.3748  0.4106  0.0895
Ac  0.5894  0.6252  0.4105
Ac  0.4105  0.1252  0.5894
Ac  0.5895  0.8748  0.4106
Ac  0.9105  0.0894  0.6252
Ac  0.4106  0.0358  0.3211
Ac  0.2147  0.5358  0.6252
Ac  0.4106  0.3748  0.5895
Ac  0.0358  0.6252  0.7147
Ac  0.6252  0.5894  0.9105
Ac  0.6789  0.4642  0.5894
Ac  0.9642  0.5894  0.1789
Ac  0.5894  0.9642  0.6789
Ac  0.1789  0.0894  0.9642
Ac  0.7147  0.1252  0.0358
Ac  0.9106  0.0895  0.8748
Ac  0.4105  0.2853  0.3211
Ac  0.8211  0.9106  0.0358
Ac  0.5895  0.7147  0.6789
Ac  0.0894  0.9105  0.1252
Ac  0.7147  0.5895  0.1789
Ac  0.3211  0.5358  0.4106
Ac  0.3211  0.7853  0.4105
Ac  0.0358  0.4106  0.8211
Ac  0.8748  0.5895  0.9106
Ac  0.6789  0.2147  0.5895
Ac  0.4642  0.7853  0.8748
Ac  0.1252  0.4105  0.0894
Ac  0.0894  0.1789  0.4642
Ac  0.7853  0.3211  0.9105
Ac  0.5358  0.3211  0.9106
Ac  0.8748  0.2853  0.4642
Ac  0.6252  0.0358  0.2147
Ac  0.3748  0.9642  0.7853
Ac  0.7853  0.4642  0.3748
Ac  0.9106  0.8211  0.5358
Ac  0.5358  0.2147  0.1252
Ac  0.1252  0.7147  0.5358
Ac  0.1789  0.0895  0.7147
Ac  0.4642  0.6789  0.0894
Ac  0.9642  0.3748  0.2853
Ac  0.2147  0.6789  0.0895
Ac  0.8211  0.9105  0.2853
Ac  0.2853  0.4105  0.8211
Ac  0.2853  0.8748  0.9642
Ni  0.6250  0.3750  0.7500
Ni  0.2500  0.6250  0.8750
Ni  0.6250  0.2500  0.3750
Ni  0.1250  0.2500  0.8750
Ni  0.7500  0.3750  0.1250
Ni  0.8750  0.1250  0.2500
Ni  0.2500  0.1250  0.3750
Ni  0.8750  0.7500  0.1250
Ni  0.3750  0.7500  0.6250
Ni  0.7500  0.8750  0.6250
Ni  0.3750  0.6250  0.2500
Ni  0.1250  0.8750  0.7500
Ru  0.7500  0.1250  0.8750
Ru  0.8750  0.6250  0.7500
Ru  0.3750  0.1250  0.7500
Ru  0.0000  0.5000  0.5000
Ru  0.5000  0.5000  0.0000
Ru  0.3750  0.2500  0.1250
Ru  0.6250  0.8750  0.2500
Ru  0.7500  0.6250  0.3750
Ru  0.1250  0.7500  0.3750
Ru  0.0000  0.0000  0.5000
Ru  0.2500  0.3750  0.6250
Ru  0.6250  0.7500  0.8750
Ru  0.5000  0.0000  0.0000
Ru  0.2500  0.8750  0.1250
Ru  0.0000  0.5000  0.0000
Ru  0.0000  0.0000  0.0000
Ru  0.1250  0.3750  0.2500
Ru  0.5000  0.0000  0.5000
Ru  0.8750  0.2500  0.6250
Ru  0.5000  0.5000  0.5000


(2)
Compound: K2NiTeAs
Source: Alexandria
Functional: PBE
Structure: optimized geometry

Summary:
Volume   40.1 A^3/atom
Symmetry   P4/mmm
E_tot   -13.3 eV/cell

abc: 6.2003 5.2159 6.2003
angles: 90.00 90.00 90.00
Each line ends with the local moment (μB).
Fractional positions:
Te  0.0000  0.5000  0.0000  0.03
Ni  0.5000  0.5000  0.5000  1.16
As  0.0000  0.0000  0.0000  -0.01
K  0.5000  0.0000  0.0000  0.00
K  0.0000  0.0000  0.5000  0.00


(3)
Compound: Ac3TbPr6
Source: Alexandria
Functional: PBE
Structure: optimized geometry

Summary:
Energy of formation from the pure elements   324 meV/atom
Volume   39.7 A^3/atom
Symmetry   R-3

abc: 10.2805 10.2805 7.3524
angles: 45.64 45.64 60.00
Fractional positions:
Pr  0.9262  0.6002  0.2178
Pr  0.7740  0.0998  0.6816
Pr  0.6002  0.2558  0.2178
Pr  0.2558  0.9262  0.2178
Pr  0.4446  0.7740  0.6816
Pr  0.0998  0.4446  0.6816
Ac  0.3499  0.3499  0.9504
Ac  0.6078  0.6078  0.1767
Ac  0.0919  0.0919  0.7243
Tb  0.8499  0.8499  0.4503


(4)
Compound: CdPBr2
Source: Alexandria
Functional: PBE
Structure: optimized geometry

Summary:
Volume   26.6 A^3/atom
Symmetry   R-3m
E_tot   -8.9 eV/cell

abc: 9.4611 9.4611 9.4611
angles: 22.24 22.24 22.24
Fractional positions:
Br  0.0901  0.0901  0.0901
Br  0.9099  0.9099  0.9099
P  0.0000  0.0000  0.0000
Cd  0.5000  0.5000  0.5000


(5)
Compound: K2TbBiS4
Source: Alexandria
Functional: PBE
Structure: optimized geometry

Summary:
Volume   27.2 A^3/atom
Symmetry   P2/m
E_tot   -38.0 eV/cell

abc: 4.1121 7.1551 7.7544
angles: 107.73 90.00 90.00
Fractional positions:
K  0.5000  0.0000  0.5000
K  0.0000  0.5000  0.5000
S  0.5000  0.7568  0.7919
S  0.0000  0.7282  0.2038
S  0.0000  0.2718  0.7962
S  0.5000  0.2432  0.2081
Tb  0.5000  0.5000  0.0000
Bi  0.0000  0.0000  0.0000


(6)
Compound: GdTmGaSn
Source: Alexandria
Functional: PBE
Structure: optimized geometry

Summary:
Energy of formation from the pure elements   -546 meV/atom
Volume   25.0 A^3/atom
Symmetry   F-43m

abc: 5.2098 5.2098 5.2098
angles: 60.00 60.00 60.00
Each line ends with the local moment (μB).
Fractional positions:
Sn  0.2500  0.2500  0.2500  -0.04
Ga  0.7500  0.7500  0.7500  -0.04
Gd  0.0000  0.0000  0.0000  7.00
Tm  0.5000  0.5000  0.5000  0.01


(7)
Compound: Ho6Sb3Te
Source: Alexandria
Functional: PBE
Structure: optimized geometry

Summary:
Volume   30.8 A^3/atom
Symmetry   Cmc2_1
E_tot   -101.9 eV/cell

abc: 7.4494 9.2348 9.2348
angles: 104.11 90.00 90.00
Each line ends with the local moment (μB).
Fractional positions:
Ho  0.6578  0.2822  0.3841  0.12
Ho  0.2506  0.0031  0.9969  0.01
Ho  0.2401  0.0839  0.5413  0.02
Ho  0.1578  0.7178  0.6159  0.12
Ho  0.6578  0.6159  0.7178  0.12
Ho  0.6247  0.2480  0.7520  0.14
Ho  0.2401  0.4587  0.9161  0.02
Ho  0.7506  0.9969  0.0031  0.01
Ho  0.7401  0.5413  0.0839  0.02
Ho  0.1247  0.7520  0.2480  0.14
Ho  0.1578  0.3841  0.2822  0.12
Ho  0.7401  0.9161  0.4587  0.02
Sb  0.9880  0.7210  0.9164  0.00
Sb  0.4880  0.9164  0.7210  0.00
Sb  0.9880  0.0836  0.2790  0.00
Sb  0.4880  0.2790  0.0836  0.00
Sb  0.3410  0.4128  0.5872  0.00
Sb  0.8410  0.5872  0.4128  0.00
Te  0.4972  0.8294  0.1706  0.00
Te  0.9972  0.1706  0.8294  0.00


(8)
Compound: LiYPb
Source: Alexandria
Functional: PBE
Structure: optimized geometry

Summary:
Energy of formation from the pure elements   15 meV/atom
Volume   30.5 A^3/atom
Symmetry   F-43m

abc: 5.0575 5.0575 5.0575
angles: 60.00 60.00 60.00
Fractional positions:
Pb  0.7500  0.7500  0.7500
Y  0.0000  0.0000  0.0000
Li  0.2500  0.2500  0.2500


(9)
Compound: ErTm2Cu
Source: Alexandria
Functional: PBE
Structure: optimized geometry

Summary:
Energy of formation from the pure elements   14 meV/atom
Volume   26.7 A^3/atom
Symmetry   R3m

abc: 3.5956 3.5956 9.7692
angles: 79.40 79.40 60.00
Each line ends with the local moment (μB).
Fractional positions:
Tm  0.0675  0.0675  0.7975  0.08
Tm  0.2657  0.2657  0.2030  0.08
Cu  0.6660  0.6660  0.0019  0.00
Er  0.5008  0.5008  0.4977  0.27


(10)
Compound: Pm4Pr2As3N2
Source: Alexandria
Functional: PBE
Structure: optimized geometry

Summary:
Volume   24.7 A^3/atom
Symmetry   I4/mmm
E_tot   -72.7 eV/cell

abc: 4.6864 4.6864 12.7944
angles: 100.55 100.55 90.00
Fractional positions:
As  0.1753  0.1753  0.3506
As  0.8247  0.8247  0.6494
As  0.0000  0.0000  0.0000
Pm  0.4204  0.9204  0.8409
Pm  0.9204  0.4204  0.8409
Pm  0.5796  0.0796  0.1591
Pm  0.0796  0.5796  0.1591
Pr  0.3033  0.3033  0.6067
Pr  0.6967  0.6967  0.3933
N  0.6016  0.6016  0.2032
N  0.3984  0.3984  0.7968


(11)
Compound: Rb2Ca2C
Source: Alexandria
Functional: PBE
Structure: optimized geometry

Summary:
Energy of formation from the pure elements   1270 meV/atom
Volume   51.3 A^3/atom
Symmetry   I4/mmm

abc: 4.7213 4.7213 11.9714
angles: 78.63 78.63 90.00
Each line ends with the local moment (μB).
Fractional positions:
Rb  0.4211  0.4211  0.1579  0.01
Rb  0.5789  0.5789  0.8421  0.01
Ca  0.7500  0.2500  0.5000  -0.03
Ca  0.2500  0.7500  0.5000  -0.03
C  0.0000  0.0000  0.0000  1.10


(12)
Compound: NbBiIO2
Source: Alexandria
Functional: PBE
Structure: optimized geometry

Summary:
Volume   21.3 A^3/atom
Symmetry   P4/mmm
E_tot   -28.8 eV/cell

abc: 4.1682 4.1682 6.1396
angles: 90.00 90.00 90.00
Each line ends with the local moment (μB).
Fractional positions:
I  0.0000  0.0000  0.5000  0.00
O  0.5000  0.0000  0.0000  0.02
O  0.0000  0.5000  0.0000  0.02
Nb  0.0000  0.0000  0.0000  0.31
Bi  0.5000  0.5000  0.5000  0.40